Entry 1:
AgHgIr2 | GGA-PBE | optimized geometry

Computed properties:
Formation enthalpy at 0 K in eV/atom: 0.432
VASP energy in eV per atom: -4.786
Density in Mg/m³: 16.75
Fermi-level density of states in states/eV/f.u.: 3.68

a = 2.7920 Å, b = 4.9249 Å, c = 9.9886 Å
α = 90.00°, β = 90.00°, γ = 90.00°
With the nearest neighbours (Å) after each atom.
Positions (direct):
Ag 0.0000 0.0000 0.0000  6 Ag 2.79-2.83, 2 Ir 2.84, 2 Hg 3.05
Ag 0.5000 0.5000 0.0000  6 Ag 2.79-2.83, 2 Ir 2.84, 2 Hg 3.05
Hg 0.0000 0.5000 0.2712  6 Hg 2.79-2.83, 2 Ir 2.94, 2 Ag 3.05
Hg 0.5000 0.0000 0.2712  6 Hg 2.79-2.83, 2 Ir 2.94, 2 Ag 3.05
Ir 0.0000 0.0000 0.5302  8 Ir 2.62-2.83
Ir 0.0000 0.5000 0.7524  8 Ir 2.62-2.83, 2 Ag 2.84
Ir 0.5000 0.0000 0.7524  8 Ir 2.62-2.83, 2 Ag 2.84
Ir 0.5000 0.5000 0.5302  8 Ir 2.62-2.83

Entry 2:
Lu2ZnSb | GGA-PBE | optimized geometry

Computed properties:
VASP energy in eV per atom: -4.126
E_form (uncorrected) in meV/atom: -517
Energy above the lowest structure with this stoichiometry in eV/atom: 0.000
Density in Mg/m³: 9.43
Fermi-level density of states in states/eV/f.u.: 3.10

a = 3.7829 Å, b = 3.7829 Å, c = 6.6087 Å
α = 90.00°, β = 90.00°, γ = 90.00°
With the nearest neighbours (Å) after each atom.
Positions (direct):
Lu 0.0000 0.0000 0.2459  4 Zn 3.13, 4 Sb 3.16, 2 Lu 3.25-3.36
Lu 0.0000 0.0000 0.7541  4 Zn 3.13, 4 Sb 3.16, 2 Lu 3.25-3.36
Zn 0.5000 0.5000 0.0000  8 Lu 3.13, 2 Sb 3.30
Sb 0.5000 0.5000 0.5000  8 Lu 3.16, 2 Zn 3.30

Entry 3:
Ho4B5C2 | GGA-PBE | optimized geometry

Computed properties:
Formation enthalpy at 0 K in eV/atom: -0.237
VASP energy in eV per atom: -6.614
Density in Mg/m³: 8.00
Fermi-level density of states in states/eV/f.u.: 3.65

a = 6.5325 Å, b = 3.5965 Å, c = 6.5514 Å
α = 90.00°, β = 95.84°, γ = 90.00°
With the nearest neighbours (Å) after each atom.
Positions (direct):
Ho 0.0761 0.0000 0.2651  4 B 2.49-2.60, 4 C 2.53-2.62
Ho 0.3957 0.0000 0.7258  8 B 2.58-2.80, 2 C 2.75
Ho 0.6043 0.0000 0.2742  8 B 2.58-2.80, 2 C 2.75
Ho 0.9239 0.0000 0.7349  4 B 2.49-2.60, 4 C 2.53-2.62
B 0.3152 0.5000 0.4039  1 C 1.63, 1 B 1.69
B 0.3268 0.5000 0.1476  2 B 1.56-1.69
B 0.5000 0.5000 0.0000  2 B 1.56
B 0.6732 0.5000 0.8524  2 B 1.56-1.69
B 0.6848 0.5000 0.5961  1 C 1.63, 1 B 1.69
C 0.1193 0.5000 0.5386  1 C 1.59, 1 B 1.63
C 0.8807 0.5000 0.4614  1 C 1.59, 1 B 1.63

Entry 4:
Cs8TeAu2 | GGA-PBE | optimized geometry

Computed properties:
VASP energy in eV per atom: -1.833
E_form (uncorrected) in meV/atom: -331
Density in Mg/m³: 2.81
Fermi-level density of states in states/eV/f.u.: 6.05

a = 9.4402 Å, b = 10.7069 Å, c = 10.7088 Å
α = 119.96°, β = 90.01°, γ = 90.02°
With the nearest neighbours (Å) after each atom.
Positions (direct):
Cs 0.1742 0.3334 0.1664  1 Au 3.55
Cs 0.2725 0.8365 0.6632  1 Au 3.57, 1 Te 3.71
Cs 0.2727 0.3267 0.6625  1 Au 3.57, 1 Te 3.71
Cs 0.2731 0.8365 0.1729  1 Au 3.57, 1 Te 3.71
Cs 0.7269 0.1635 0.8271  1 Au 3.57, 1 Te 3.71
Cs 0.7273 0.6733 0.3375  1 Au 3.57, 1 Te 3.71
Cs 0.7275 0.1635 0.3368  1 Au 3.57, 1 Te 3.71
Cs 0.8258 0.6666 0.8336  1 Au 3.55
Te 0.5000 0.0000 0.5000  6 Cs 3.71
Au 0.4501 0.6667 0.8331  4 Cs 3.55-3.57
Au 0.5499 0.3333 0.1669  4 Cs 3.55-3.57

Entry 5:
Na3MgV | GGA-PBE | optimized geometry

Computed properties:
Formation enthalpy at 0 K in eV/atom: 1.046
VASP energy in eV per atom: -1.888
Energy above the lowest structure with this stoichiometry in eV/atom: 0.061
Density in Mg/m³: 1.28
Fermi-level density of states in states/eV/f.u.: 7.55

a = 5.7156 Å, b = 5.7156 Å, c = 5.7156 Å
α = 90.00°, β = 90.00°, γ = 90.00°
With the nearest neighbours (Å) after each atom.
Positions (direct):
Na 0.0000 0.0000 0.5000  2 Mg 2.86
Na 0.0000 0.5000 0.0000  2 Mg 2.86
Na 0.5000 0.0000 0.0000  2 Mg 2.86
Mg 0.0000 0.0000 0.0000  6 Na 2.86
V 0.5000 0.5000 0.5000  12 Na 4.04

Entry 6:
Nd2YGa3Pt4 | GGA-PBE | optimized geometry

Computed properties:
Formation enthalpy at 0 K in eV/atom: -0.974
VASP energy in eV per atom: -5.898
Density in Mg/m³: 10.91
Fermi-level density of states in states/eV/f.u.: 6.89

a = 4.2560 Å, b = 4.2560 Å, c = 11.4825 Å
α = 90.00°, β = 90.00°, γ = 90.00°
With the nearest neighbours (Å) after each atom.
Positions (direct):
Nd 0.0000 0.5000 0.2273  4 Ga 3.24, 8 Pt 3.28-3.37
Nd 0.5000 0.0000 0.7727  4 Ga 3.24, 8 Pt 3.28-3.37
Y 0.0000 0.0000 0.5000  4 Pt 2.80, 4 Ga 3.01
Ga 0.0000 0.5000 0.8767  5 Pt 2.50-2.56
Ga 0.5000 0.0000 0.1233  5 Pt 2.50-2.56
Ga 0.5000 0.5000 0.5000  4 Pt 2.80, 4 Y 3.01
Pt 0.0000 0.0000 0.0000  4 Ga 2.56
Pt 0.0000 0.5000 0.6587  3 Ga 2.50-2.80, 2 Y 2.80
Pt 0.5000 0.0000 0.3413  3 Ga 2.50-2.80, 2 Y 2.80
Pt 0.5000 0.5000 0.0000  4 Ga 2.56

Entry 7:
KNpCuS3 | GGA-PBE | optimized geometry

Computed properties:
VASP energy in eV per atom: -6.252
E_form (uncorrected) in meV/atom: -1166
Density in Mg/m³: 5.03
Fermi-level density of states in states/eV/f.u.: 9.74

a = 7.3361 Å, b = 7.3361 Å, c = 10.2458 Å
α = 90.00°, β = 90.00°, γ = 148.56°
With the nearest neighbours (Å) after each atom.
Positions (direct):
K 0.2431 0.7569 0.7500  8 S 3.26-3.63
K 0.7569 0.2431 0.2500  8 S 3.26-3.63
Np 0.5000 0.5000 0.0000  6 S 2.70
Np 0.5000 0.5000 0.5000  6 S 2.70
Cu 0.0331 0.9669 0.2500  4 S 2.30-2.39
Cu 0.9669 0.0331 0.7500  4 S 2.30-2.39
S 0.1211 0.8789 0.0614  1 Cu 2.30
S 0.1211 0.8789 0.4386  1 Cu 2.30
S 0.4396 0.5604 0.2500  2 Cu 2.39
S 0.5604 0.4396 0.7500  2 Cu 2.39
S 0.8789 0.1211 0.5614  1 Cu 2.30
S 0.8789 0.1211 0.9386  1 Cu 2.30

Entry 8:
Mg4TlNi | GGA-PBE | optimized geometry

Computed properties:
Formation enthalpy at 0 K in eV/atom: -0.111
VASP energy in eV per atom: -2.532
Energy above the lowest structure with this stoichiometry in eV/atom: 0.000
Density in Mg/m³: 4.75
Fermi-level density of states in states/eV/f.u.: 1.58

a = 8.1239 Å, b = 8.1239 Å, c = 5.2447 Å
α = 108.55°, β = 108.55°, γ = 51.07°
With the nearest neighbours (Å) after each atom.
Positions (direct):
Mg 0.1295 0.6291 0.3814  2 Ni 2.68
Mg 0.2064 0.7936 0.0000  2 Ni 2.52
Mg 0.3327 0.3327 0.8345  2 Ni 2.71-2.72
Mg 0.3709 0.8705 0.6186  2 Ni 2.68
Mg 0.6291 0.1295 0.3814  2 Ni 2.68
Mg 0.6673 0.6673 0.1655  2 Ni 2.71-2.72
Mg 0.7936 0.2064 0.0000  2 Ni 2.52
Mg 0.8705 0.3709 0.6186  2 Ni 2.68
Tl 0.1934 0.1934 0.1940  10 Mg 3.02-3.32
Tl 0.8066 0.8066 0.8060  10 Mg 3.02-3.32
Ni 0.5000 0.5000 0.2762  1 Ni 2.35, 2 Mg 2.52
Ni 0.5000 0.5000 0.7238  1 Ni 2.35, 2 Mg 2.52

Entry 9:
Re2HgSb | GGA-PBE | optimized geometry

Computed properties:
VASP energy in eV per atom: -6.258
E_form (uncorrected) in meV/atom: 1072
Energy above the lowest structure with this stoichiometry in eV/atom: 0.724
Density in Mg/m³: 15.64
Fermi-level density of states in states/eV/f.u.: 4.13

a = 3.1301 Å, b = 5.1642 Å, c = 9.1273 Å
α = 90.00°, β = 90.00°, γ = 90.00°
With the nearest neighbours (Å) after each atom.
Positions (direct):
Re 0.0000 0.0000 0.2337  2 Sb 2.65, 2 Hg 2.89
Re 0.0000 0.0000 0.7663  2 Sb 2.65, 2 Hg 2.89
Re 0.5000 0.5000 0.2337  2 Sb 2.65, 2 Hg 2.89
Re 0.5000 0.5000 0.7663  2 Sb 2.65, 2 Hg 2.89
Hg 0.0000 0.5000 0.5000  4 Re 2.89, 6 Hg 3.02-3.13
Hg 0.5000 0.0000 0.5000  4 Re 2.89, 6 Hg 3.02-3.13
Sb 0.0000 0.5000 0.0000  4 Re 2.65
Sb 0.5000 0.0000 0.0000  4 Re 2.65

Entry 10:
ZrCdSb | GGA-PBE | optimized geometry

Computed properties:
VASP energy in eV per atom: -4.673
E_form (uncorrected) in meV/atom: -145
Energy above the lowest structure with this stoichiometry in eV/atom: 0.155
Density in Mg/m³: 7.70
Fermi-level density of states in states/eV/f.u.: 3.58

a = 3.7683 Å, b = 3.7683 Å, c = 9.8848 Å
α = 90.00°, β = 90.00°, γ = 90.00°
With the nearest neighbours (Å) after each atom.
Positions (direct):
Zr 0.0000 0.0000 0.0000  4 Sb 3.04, 5 Cd 3.18-3.21
Zr 0.5000 0.5000 0.5000  4 Sb 3.04, 5 Cd 3.18-3.21
Cd 0.0000 0.0000 0.6755  5 Zr 3.18-3.21, 5 Sb 3.18-3.20
Cd 0.5000 0.5000 0.1755  5 Zr 3.18-3.21, 5 Sb 3.18-3.20
Sb 0.0000 0.0000 0.3513  4 Zr 3.04, 5 Cd 3.18-3.20
Sb 0.5000 0.5000 0.8513  4 Zr 3.04, 5 Cd 3.18-3.20

Copy entry 7 word for word.
KNpCuS3 | GGA-PBE | optimized geometry

Computed properties:
VASP energy in eV per atom: -6.252
E_form (uncorrected) in meV/atom: -1166
Density in Mg/m³: 5.03
Fermi-level density of states in states/eV/f.u.: 9.74

a = 7.3361 Å, b = 7.3361 Å, c = 10.2458 Å
α = 90.00°, β = 90.00°, γ = 148.56°
With the nearest neighbours (Å) after each atom.
Positions (direct):
K 0.2431 0.7569 0.7500  8 S 3.26-3.63
K 0.7569 0.2431 0.2500  8 S 3.26-3.63
Np 0.5000 0.5000 0.0000  6 S 2.70
Np 0.5000 0.5000 0.5000  6 S 2.70
Cu 0.0331 0.9669 0.2500  4 S 2.30-2.39
Cu 0.9669 0.0331 0.7500  4 S 2.30-2.39
S 0.1211 0.8789 0.0614  1 Cu 2.30
S 0.1211 0.8789 0.4386  1 Cu 2.30
S 0.4396 0.5604 0.2500  2 Cu 2.39
S 0.5604 0.4396 0.7500  2 Cu 2.39
S 0.8789 0.1211 0.5614  1 Cu 2.30
S 0.8789 0.1211 0.9386  1 Cu 2.30

> Which value of density does entry 2 give?

9.43 Mg/m³

> Look up the VASP energy of the seventh one.

-6.252 eV per atom

> The highest Fermi-level density of states belongs to which entry?

KNpCuS3